Record 1
Density functional theory data (PBE) for a relaxed structure of DyPd6Au.

Output
* energy above the most stable polymorph in this dataset: 0.000 kcal/mol of atoms
* M_tot: 0.000 Bohr magnetons per cell
* E_tot: -5.3341 eV/atom
* energy of formation: -455 meV per atom
* space-group type: P4/mmm (123)

Cell: 5.7118 5.7118 4.1133 Å, 90.00 90.00 90.00°
Closest atoms and distances in Å follow each position.
Fractional coordinates of all 8 atoms:
1 Dy 0.0000 0.0000 0.0000  12 Pd 2.86-2.90
2 Pd 0.0000 0.5000 0.0000  2 Dy 2.86, 2 Au 2.86, 8 Pd 2.88
3 Pd 0.2539 0.2539 0.5000  8 Pd 2.81-2.90, 2 Au 2.86, 2 Dy 2.90
4 Pd 0.2539 0.7461 0.5000  8 Pd 2.81-2.90, 2 Au 2.86, 2 Dy 2.90
5 Pd 0.5000 0.0000 0.0000  2 Dy 2.86, 2 Au 2.86, 8 Pd 2.88
6 Pd 0.7461 0.2539 0.5000  8 Pd 2.81-2.90, 2 Au 2.86, 2 Dy 2.90
7 Pd 0.7461 0.7461 0.5000  8 Pd 2.81-2.90, 2 Au 2.86, 2 Dy 2.90
8 Au 0.5000 0.5000 0.0000  12 Pd 2.86

=====

Record 2
Density functional theory data (PBE) for a relaxed structure of Sr2PtBr.

Output
* energy above the most stable polymorph in this dataset: 5.417 kcal/mol of atoms
* M_tot: 0.000 Bohr magnetons per cell
* E_tot: -3.7790 eV/atom
* energy relative to the elements, uncorrected: -1.010 eV per atom
* space-group type: Fm-3m (225)

Cell: 7.6851 7.6851 7.6851 Å, 90.00 90.00 90.00°
Closest atoms and distances in Å follow each position.
Fractional coordinates of all 16 atoms:
1 Sr 0.2500 0.2500 0.2500  4 Pt 3.33, 4 Br 3.33
2 Sr 0.2500 0.2500 0.7500  4 Br 3.33, 4 Pt 3.33
3 Sr 0.2500 0.7500 0.2500  4 Br 3.33, 4 Pt 3.33
4 Sr 0.2500 0.7500 0.7500  4 Pt 3.33, 4 Br 3.33
5 Sr 0.7500 0.2500 0.2500  4 Br 3.33, 4 Pt 3.33
6 Sr 0.7500 0.2500 0.7500  4 Pt 3.33, 4 Br 3.33
7 Sr 0.7500 0.7500 0.2500  4 Pt 3.33, 4 Br 3.33
8 Sr 0.7500 0.7500 0.7500  4 Br 3.33, 4 Pt 3.33
9 Pt 0.0000 0.0000 0.0000  8 Sr 3.33
10 Pt 0.0000 0.5000 0.5000  8 Sr 3.33
11 Pt 0.5000 0.0000 0.5000  8 Sr 3.33
12 Pt 0.5000 0.5000 0.0000  8 Sr 3.33
13 Br 0.0000 0.0000 0.5000  8 Sr 3.33
14 Br 0.0000 0.5000 0.0000  8 Sr 3.33
15 Br 0.5000 0.0000 0.0000  8 Sr 3.33
16 Br 0.5000 0.5000 0.5000  8 Sr 3.33

=====

Record 3
Density functional theory data (PBE) for a relaxed structure of VMoPt.

Output
* energy above the most stable polymorph in this dataset: 4.891 kcal/mol of atoms
* M_tot: 0.000 Bohr magnetons per cell
* E_tot: -8.7317 eV/atom
* energy of formation: -68 meV per atom
* space-group type: P-6m2 (187)

Cell: 4.5067 4.5067 2.6116 Å, 90.00 90.00 120.00°
Closest atoms and distances in Å follow each position.
Fractional coordinates of all 3 atoms:
1 V 0.0000 0.0000 0.0000  2 V 2.61, 6 Mo 2.91, 6 Pt 2.91
2 Mo 0.3333 0.6667 0.5000  3 Pt 2.60, 2 Mo 2.61, 6 V 2.91
3 Pt 0.6667 0.3333 0.5000  3 Mo 2.60, 2 Pt 2.61, 6 V 2.91

=====

Record 4
Density functional theory data (PBE) for a relaxed structure of PSe2.

Output
* energy above the most stable polymorph in this dataset: 0.000 kcal/mol of atoms
* M_tot: 0.000 Bohr magnetons per cell
* E_tot: -4.0968 eV/atom
* energy relative to the elements, uncorrected: 0.030 eV per atom
* space-group type: P-1 (2)

Cell: 3.4876 3.4888 6.9542 Å, 89.68 75.57 60.02°
Closest atoms and distances in Å follow each position.
Fractional coordinates of all 3 atoms:
1 P 0.0000 0.0000 0.0000  6 Se 2.51
2 Se 0.4798 0.2628 0.7763  3 P 2.51
3 Se 0.5202 0.7372 0.2237  3 P 2.51

=====

Record 5
Density functional theory data (PBE) for a relaxed structure of KSrCo2.

Output
* energy above the most stable polymorph in this dataset: 5.529 kcal/mol of atoms
* M_tot: 5.209 Bohr magnetons per cell
* E_tot: -3.6372 eV/atom
* energy of formation: 611 meV per atom
* space-group type: C2/m (12)

Cell: 10.9980 3.9198 7.9963 Å, 90.00 128.07 90.00°
Closest atoms and distances in Å follow each position.
Fractional coordinates of all 8 atoms:
1 K 0.0000 0.0000 0.0000  6 Co 3.45-3.52
2 K 0.5000 0.5000 0.0000  6 Co 3.45-3.52
3 Sr 0.0000 0.5000 0.5000  6 Co 3.08-3.15
4 Sr 0.5000 0.0000 0.5000  6 Co 3.08-3.15
5 Co 0.2485 0.0000 0.5596  2 Co 2.19
6 Co 0.2515 0.5000 0.4404  2 Co 2.19
7 Co 0.7485 0.5000 0.5596  2 Co 2.19
8 Co 0.7515 0.0000 0.4404  2 Co 2.19

=====

Record 6
Density functional theory data (PBE) for a relaxed structure of Tm2Ag2Hg.

Output
* M_tot: 0.000 Bohr magnetons per cell
* E_tot: -3.1765 eV/atom
* energy of formation: -187 meV per atom
* space-group type: Immm (71)

Cell: 3.4677 4.8508 14.5160 Å, 90.00 90.00 90.00°
Closest atoms and distances in Å follow each position.
Fractional coordinates of all 10 atoms:
1 Tm 0.0000 0.0000 0.1782  5 Ag 3.02-3.12, 2 Hg 3.11
2 Tm 0.0000 0.0000 0.8218  5 Ag 3.02-3.12, 2 Hg 3.11
3 Tm 0.5000 0.5000 0.3218  5 Ag 3.02-3.12, 2 Hg 3.11
4 Tm 0.5000 0.5000 0.6782  5 Ag 3.02-3.12, 2 Hg 3.11
5 Ag 0.0000 0.0000 0.3862  2 Hg 2.93, 5 Tm 3.02-3.12
6 Ag 0.0000 0.0000 0.6138  2 Hg 2.93, 5 Tm 3.02-3.12
7 Ag 0.5000 0.5000 0.1138  2 Hg 2.93, 5 Tm 3.02-3.12
8 Ag 0.5000 0.5000 0.8862  2 Hg 2.93, 5 Tm 3.02-3.12
9 Hg 0.0000 0.5000 0.5000  4 Ag 2.93, 4 Tm 3.11
10 Hg 0.5000 0.0000 0.0000  4 Ag 2.93, 4 Tm 3.11

=====

Record 7
Density functional theory data (PBE) for a relaxed structure of K2Hf2Sb2As.

Output
* M_tot: 1.167 Bohr magnetons per cell
* E_tot: -5.4964 eV/atom
* energy relative to the elements, uncorrected: -0.497 eV per atom
* space-group type: I4/mmm (139)

Cell: 5.0455 5.0455 17.7868 Å, 90.00 90.00 90.00°
Closest atoms and distances in Å follow each position.
Fractional coordinates of all 14 atoms:
1 K 0.0000 0.0000 0.1830  1 As 3.25
2 K 0.0000 0.0000 0.8170  1 As 3.25
3 K 0.5000 0.5000 0.3170  1 As 3.25
4 K 0.5000 0.5000 0.6830  1 As 3.25
5 Hf 0.0000 0.5000 0.0000  2 As 2.52
6 Hf 0.0000 0.5000 0.5000  2 As 2.52
7 Hf 0.5000 0.0000 0.0000  2 As 2.52
8 Hf 0.5000 0.0000 0.5000  2 As 2.52
9 Sb 0.0000 0.0000 0.3930  4 Hf 3.16
10 Sb 0.0000 0.0000 0.6070  4 Hf 3.16
11 Sb 0.5000 0.5000 0.1070  4 Hf 3.16
12 Sb 0.5000 0.5000 0.8930  4 Hf 3.16
13 As 0.0000 0.0000 0.0000  4 Hf 2.52
14 As 0.5000 0.5000 0.5000  4 Hf 2.52

=====

Record 8
Density functional theory data (PBE) for a relaxed structure of Cs12KAu7.

Output
* energy above the most stable polymorph in this dataset: 0.000 kcal/mol of atoms
* M_tot: 0.000 Bohr magnetons per cell
* E_tot: -1.9423 eV/atom
* energy of formation: -228 meV per atom
* space-group type: R-3 (148)

Cell: 11.6088 11.6088 11.6088 Å, 107.41 107.41 107.41°
Closest atoms and distances in Å follow each position.
Fractional coordinates of all 20 atoms:
1 Cs 0.0567 0.1290 0.3464  3 Au 3.58-3.62
2 Cs 0.1290 0.3464 0.0567  3 Au 3.58-3.62
3 Cs 0.1878 0.5784 0.7234  3 Au 3.56-3.72
4 Cs 0.2766 0.8122 0.4216  3 Au 3.56-3.72
5 Cs 0.3464 0.0567 0.1290  3 Au 3.58-3.62
6 Cs 0.4216 0.2766 0.8122  3 Au 3.56-3.72
7 Cs 0.5784 0.7234 0.1878  3 Au 3.56-3.72
8 Cs 0.6536 0.9433 0.8710  3 Au 3.58-3.62
9 Cs 0.7234 0.1878 0.5784  3 Au 3.56-3.72
10 Cs 0.8122 0.4216 0.2766  3 Au 3.56-3.72
11 Cs 0.8710 0.6536 0.9433  3 Au 3.58-3.62
12 Cs 0.9433 0.8710 0.6536  3 Au 3.58-3.62
13 K 0.5000 0.5000 0.5000  6 Au 3.57
14 Au 0.0000 0.0000 0.0000  6 Cs 3.62
15 Au 0.1667 0.4720 0.3940  5 Cs 3.56-3.72, 1 K 3.57
16 Au 0.3940 0.1667 0.4720  5 Cs 3.56-3.72, 1 K 3.57
17 Au 0.4720 0.3940 0.1667  5 Cs 3.56-3.72, 1 K 3.57
18 Au 0.5280 0.6060 0.8333  5 Cs 3.56-3.72, 1 K 3.57
19 Au 0.6060 0.8333 0.5280  5 Cs 3.56-3.72, 1 K 3.57
20 Au 0.8333 0.5280 0.6060  5 Cs 3.56-3.72, 1 K 3.57

=====

Which value of E_tot does entry 1 give?
-5.3341 eV/atom

=====

Look up the E_tot of the fifth one.
-3.6372 eV/atom